[1]
Er5GaCo: optimized geometry, PBE.

Cell and atoms, written as POSCAR:
```
Er5GaCo
1.0
-4.1812 3.9513 -1.2612
-3.9798 -0.4405 4.3190
2.3940 8.6922 6.7547
Er Co Ga
10 2 2
Direct
0.7882 0.4419 0.4438
0.0851 0.4121 0.8710
0.9149 0.5879 0.1290
0.5879 0.9149 0.6290
0.4419 0.7882 0.9438
0.9889 0.0111 0.7500
0.0111 0.9889 0.2500
0.2118 0.5581 0.5562
0.5581 0.2118 0.0562
0.4121 0.0851 0.3710
0.0000 0.0000 0.5000
0.0000 0.0000 0.0000
0.4194 0.5806 0.2500
0.5806 0.4194 0.7500
```


[2]
YInCoNi: optimized geometry, PBE.

Cell and atoms, written as POSCAR:
```
YInCoNi
1.0
-1.7704 -0.3944 4.2246
-2.4759 -3.7091 1.1178
1.7075 -3.1070 2.9271
Ni Y Co In
1 1 1 1
Direct
0.0000 0.0000 0.0000
0.7500 0.7500 0.7500
0.5000 0.5000 0.5000
0.2500 0.2500 0.2500
```


[3]
RbCd4In3: optimized geometry, PBE.

Cell and atoms, written as POSCAR:
```
RbCd4In3
1.0
-0.5771 -0.0250 -4.9544
-3.4607 -3.5673 0.4211
-6.7818 6.6684 0.7562
Rb In Cd
1 3 4
Direct
0.0000 0.0000 0.5000
0.5000 0.5000 0.6558
0.0000 0.0000 0.0000
0.5000 0.5000 0.3442
0.5000 0.0000 0.8251
0.0000 0.5000 0.1749
0.5000 0.0000 0.1749
0.0000 0.5000 0.8251
```


Raw total energy per entry: -4.82 -5.73 -1.63 eV/atom
E_form per entry: -0.761 -0.847 -0.207 eV/f.u.